No. 1
The following is a PBE calculation of K5NpTe4 after structural relaxation, from Alexandria.

Unit cell a=21.046 b=5.048 c=9.050 alpha=90.00 beta=115.18 gamma=90.00
Space group C2/m (No. 12)
Symmetry-distinct sites (fractional):
K 0.000 0.000 0.000 (multiplicity 2)
K 0.174 0.500 0.925 (multiplicity 4)
K 0.175 0.500 0.428 (multiplicity 4)
Np 0.000 0.000 0.500 (multiplicity 2)
Te 0.001 0.500 0.273 (multiplicity 4)
Te 0.176 0.000 0.677 (multiplicity 4)

E_form (uncorrected): -863 meV/atom

---

No. 2
The following is a PBE calculation of Pr2YGe3Pt4 after structural relaxation, from Alexandria.

Unit cell a=4.347 b=4.347 c=11.146 alpha=90.00 beta=90.00 gamma=90.00
Space group P-4m2 (No. 115)
Symmetry-distinct sites (fractional):
Pr 0.000 0.500 0.223 (multiplicity 2)
Y 0.000 0.000 0.500 (multiplicity 1)
Ge 0.000 0.500 0.879 (multiplicity 2)
Ge 0.500 0.500 0.500 (multiplicity 1)
Pt 0.000 0.000 0.000 (multiplicity 1)
Pt 0.000 0.500 0.657 (multiplicity 2)
Pt 0.500 0.500 0.000 (multiplicity 1)

energy relative to the elements: -960 meV/atom

---

No. 3
The following is a PBE calculation of La2Ag2Ge after structural relaxation, from Alexandria.

Unit cell a=5.968 b=5.968 c=7.838 alpha=90.00 beta=90.00 gamma=90.00
Space group I4/mmm (No. 139)
Symmetry-distinct sites (fractional):
La 0.000 0.500 0.250 (multiplicity 4)
Ag 0.000 0.000 0.163 (multiplicity 4)
Ge 0.000 0.000 0.500 (multiplicity 2)

energy relative to the elements: -127 meV/atom
ΔE to the lowest computed polymorph: 214 meV/atom

---

No. 4
The following is a PBE calculation of RbGaMo3 after structural relaxation, from Alexandria.

Unit cell a=4.700 b=4.700 c=4.700 alpha=90.00 beta=90.00 gamma=90.00
Space group Pm-3m (No. 221)
Symmetry-distinct sites (fractional):
Rb 0.000 0.000 0.000 (multiplicity 1)
Ga 0.500 0.500 0.500 (multiplicity 1)
Mo 0.000 0.000 0.500 (multiplicity 3)

energy relative to the elements: 3202 meV/atom
ΔE to the lowest computed polymorph: 1179 meV/atom

---

No. 5
The following is a PBE calculation of TeW2Se2S after structural relaxation, from Alexandria.

Unit cell a=3.3414 b=3.3414 c=29.3048 alpha=90.00 beta=90.00 gamma=120.00
Space group P3m1 (No. 156)
Symmetry-distinct sites (fractional):
Te 0.0000 0.0000 0.0000 (multiplicity 1)
Te 0.0000 0.0000 0.1304 (multiplicity 1)
W 0.0000 0.0000 0.3215 (multiplicity 1)
W 0.0000 0.0000 0.8140 (multiplicity 1)
W 0.3333 0.6667 0.0652 (multiplicity 1)
W 0.3333 0.6667 0.5707 (multiplicity 1)
Se 0.0000 0.0000 0.5135 (multiplicity 1)
Se 0.0000 0.0000 0.6279 (multiplicity 1)
Se 0.3333 0.6667 0.2644 (multiplicity 1)
Se 0.3333 0.6667 0.3787 (multiplicity 1)
S 0.3333 0.6667 0.7620 (multiplicity 1)
S 0.3333 0.6667 0.8659 (multiplicity 1)

E_form (uncorrected): -467 meV/atom

---

No. 6
The following is a PBE calculation of Na2PrAuO4 after structural relaxation, from Alexandria.

Unit cell a=5.960 b=5.960 c=6.552 alpha=90.00 beta=90.00 gamma=90.00
Space group I-4 (No. 82)
Symmetry-distinct sites (fractional):
Na 0.000 0.000 0.000 (multiplicity 2)
Na 0.000 0.500 0.250 (multiplicity 2)
Pr 0.000 0.000 0.500 (multiplicity 2)
Au 0.000 0.500 0.750 (multiplicity 2)
O 0.197 0.223 0.746 (multiplicity 8)

E_form (uncorrected): -1642 meV/atom